1.
This record from Alexandria via LeMat-Bulk describes a relaxed ZrAsPSe2 crystal. The functional is PBE.

Unit cell a=5.1392 b=5.1392 c=5.3979 alpha=90.00 beta=90.00 gamma=90.00
Last column: nearest neighbours and their distance in Å.
Atoms (fractional coordinates):
Zr 0.0000 0.0000 0.0000  4 Se 2.57, 2 As 2.70
As 0.0000 0.0000 0.5000  2 Zr 2.70
P 0.5000 0.5000 0.5000  4 As 3.63, 8 Se 3.73
Se 0.0000 0.5000 0.0000  2 Zr 2.57
Se 0.5000 0.0000 0.0000  2 Zr 2.57

Computed properties:
Space-group type ... P4/mmm, No. 123
ΔE to the lowest computed polymorph ... 0.149 eV per atom
Density ... 4.135 Mg/m³
Total moment ... 1.4 μB per formula unit
Uncorrected formation energy ... 0.37 eV per atom

---

2.
This record from Alexandria via LeMat-Bulk describes a relaxed ZrAs2PSe crystal. The functional is PBE.

Unit cell a=4.6482 b=4.6482 c=4.8620 alpha=90.00 beta=90.00 gamma=90.00
Last column: nearest neighbours and their distance in Å.
Atoms (fractional coordinates):
Zr 0.0000 0.0000 0.0000  4 Se 3.29, 8 As 3.36
As 0.0000 0.5000 0.5000  2 P 2.32
As 0.5000 0.0000 0.5000  2 P 2.32
P 0.5000 0.5000 0.5000  4 As 2.32, 2 Se 2.43
Se 0.5000 0.5000 0.0000  2 P 2.43

Computed properties:
Space-group type ... P4/mmm, No. 123
ΔE to the lowest computed polymorph ... 0.000 eV per atom
Density ... 5.549 Mg/m³
Total moment ... 0.0 μB per formula unit
Uncorrected formation energy ... 0.30 eV per atom

---

3.
This record from Alexandria via LeMat-Bulk describes a relaxed SiAs2P2 crystal. The functional is PBE.

Unit cell a=5.0633 b=5.0633 c=5.0633 alpha=120.60 beta=120.60 gamma=88.96
Last column: nearest neighbours and their distance in Å.
Atoms (fractional coordinates):
Si 0.0000 0.0000 0.0000  2 P 2.44
As 0.2500 0.7500 0.5000  4 P 2.59
As 0.7500 0.2500 0.5000  4 P 2.59
P 0.3371 0.3371 0.0000  1 P 2.35, 1 Si 2.44, 4 As 2.59
P 0.6629 0.6629 0.0000  1 P 2.35, 1 Si 2.44, 4 As 2.59

Computed properties:
Space-group type ... I4/mmm, No. 139
Density ... 4.380 Mg/m³
Total moment ... 0.0 μB per formula unit
Uncorrected formation energy ... 0.48 eV per atom

---

4.
This record from Alexandria via LeMat-Bulk describes a relaxed Si3AsP crystal. The functional is PBE.

Unit cell a=4.5592 b=4.5592 c=4.5592 alpha=90.00 beta=90.00 gamma=90.00
Last column: nearest neighbours and their distance in Å.
Atoms (fractional coordinates):
Si 0.0000 0.0000 0.5000  2 P 2.28
Si 0.0000 0.5000 0.0000  2 P 2.28
Si 0.5000 0.0000 0.0000  2 P 2.28
As 0.5000 0.5000 0.5000  12 Si 3.22
P 0.0000 0.0000 0.0000  6 Si 2.28

Computed properties:
Space-group type ... Pm-3m, No. 221
ΔE to the lowest computed polymorph ... 0.000 eV per atom
Density ... 3.332 Mg/m³
Total moment ... 0.0 μB per formula unit
Uncorrected formation energy ... 0.82 eV per atom

---

5.
This record from Alexandria via LeMat-Bulk describes a relaxed Si3AsP crystal. The functional is PBE.

Unit cell a=4.7843 b=4.7843 c=4.7843 alpha=90.00 beta=90.00 gamma=90.00
Last column: nearest neighbours and their distance in Å.
Atoms (fractional coordinates):
Si 0.0000 0.0000 0.5000  2 As 2.39
Si 0.0000 0.5000 0.0000  2 As 2.39
Si 0.5000 0.0000 0.0000  2 As 2.39
As 0.0000 0.0000 0.0000  6 Si 2.39
P 0.5000 0.5000 0.5000  12 Si 3.38

Computed properties:
Space-group type ... Pm-3m, No. 221
ΔE to the lowest computed polymorph ... 0.441 eV per atom
Density ... 2.883 Mg/m³
Total moment ... 0.0 μB per formula unit
Uncorrected formation energy ... 1.26 eV per atom

---

6.
This record from Alexandria via LeMat-Bulk describes a relaxed SiAsP3 crystal. The functional is PBE.

Unit cell a=4.4931 b=4.4931 c=4.4931 alpha=90.00 beta=90.00 gamma=90.00
Last column: nearest neighbours and their distance in Å.
Atoms (fractional coordinates):
Si 0.0000 0.0000 0.0000  6 P 2.25
As 0.5000 0.5000 0.5000  12 P 3.18
P 0.0000 0.0000 0.5000  2 Si 2.25
P 0.0000 0.5000 0.0000  2 Si 2.25
P 0.5000 0.0000 0.0000  2 Si 2.25

Computed properties:
Space-group type ... Pm-3m, No. 221
ΔE to the lowest computed polymorph ... 0.000 eV per atom
Density ... 3.587 Mg/m³
Total moment ... 0.0 μB per formula unit
Uncorrected formation energy ... 0.81 eV per atom

---

7.
This record from Alexandria via LeMat-Bulk describes a relaxed SiAsP3 crystal. The functional is PBE.

Unit cell a=4.6828 b=4.6828 c=4.6828 alpha=90.00 beta=90.00 gamma=90.00
Last column: nearest neighbours and their distance in Å.
Atoms (fractional coordinates):
Si 0.0000 0.0000 0.0000  12 P 3.31
As 0.5000 0.5000 0.5000  6 P 2.34
P 0.0000 0.5000 0.5000  2 As 2.34
P 0.5000 0.0000 0.5000  2 As 2.34
P 0.5000 0.5000 0.0000  2 As 2.34

Computed properties:
Space-group type ... Pm-3m, No. 221
ΔE to the lowest computed polymorph ... 0.390 eV per atom
Density ... 3.168 Mg/m³
Total moment ... 0.0 μB per formula unit
Uncorrected formation energy ... 1.20 eV per atom

---

8.
This record from Alexandria via LeMat-Bulk describes a relaxed Si2SnAsP crystal. The functional is PBE.

Unit cell a=5.1103 b=5.1103 c=5.0017 alpha=90.00 beta=90.00 gamma=90.00
Last column: nearest neighbours and their distance in Å.
Atoms (fractional coordinates):
Si 0.0000 0.5000 0.0000  2 Sn 2.56
Si 0.5000 0.0000 0.0000  2 Sn 2.56
Sn 0.0000 0.0000 0.0000  2 P 2.50, 4 Si 2.56
As 0.5000 0.5000 0.5000  8 Si 3.58, 4 P 3.61
P 0.0000 0.0000 0.5000  2 Sn 2.50

Computed properties:
Space-group type ... P4/mmm, No. 123
Density ... 3.569 Mg/m³
Total moment ... 0.0 μB per formula unit
Uncorrected formation energy ... 1.37 eV per atom

---

9.
This record from Alexandria via LeMat-Bulk describes a relaxed SiTc2AsP crystal. The functional is PBE.

Unit cell a=4.4819 b=4.4819 c=4.2817 alpha=90.00 beta=90.00 gamma=90.00
Last column: nearest neighbours and their distance in Å.
Atoms (fractional coordinates):
Si 0.0000 0.0000 0.0000  2 P 2.14
Tc 0.0000 0.5000 0.5000  2 P 2.24
Tc 0.5000 0.0000 0.5000  2 P 2.24
As 0.5000 0.5000 0.0000  8 Tc 3.10, 4 Si 3.17
P 0.0000 0.0000 0.5000  2 Si 2.14, 4 Tc 2.24

Computed properties:
Space-group type ... P4/mmm, No. 123
Density ... 6.371 Mg/m³
Total moment ... 0.0 μB per formula unit
Uncorrected formation energy ... 0.80 eV per atom

---

10.
This record from Alexandria via LeMat-Bulk describes a relaxed Th6SiAs2P3 crystal. The functional is PBE.

Unit cell a=9.3951 b=9.3951 c=8.4192 alpha=102.95 beta=102.95 gamma=25.79
Last column: nearest neighbours and their distance in Å.
Atoms (fractional coordinates):
Th 0.0022 0.0022 0.2491  3 P 2.95-2.96, 2 Si 2.98, 1 As 3.03
Th 0.3330 0.3330 0.4245  3 P 2.93-2.95, 1 Si 2.98, 2 As 3.02
Th 0.3366 0.3366 0.9100  3 P 2.91-2.92, 3 As 3.01-3.02
Th 0.6634 0.6634 0.0900  3 P 2.91-2.92, 3 As 3.01-3.02
Th 0.6670 0.6670 0.5755  3 P 2.93-2.95, 1 Si 2.98, 2 As 3.02
Th 0.9978 0.9978 0.7509  3 P 2.95-2.96, 2 Si 2.98, 1 As 3.03
Si 0.5000 0.5000 0.5000  6 Th 2.98
As 0.1676 0.1676 0.8348  6 Th 3.01-3.03
As 0.8324 0.8324 0.1652  6 Th 3.01-3.03
P 0.1675 0.1675 0.3329  6 Th 2.92-2.95
P 0.5000 0.5000 0.0000  6 Th 2.91-2.96
P 0.8325 0.8325 0.6671  6 Th 2.92-2.95

Computed properties:
Space-group type ... C2/m, No. 12
Density ... 8.776 Mg/m³
Total moment ... 0.0 μB per formula unit
Uncorrected formation energy ... -1.35 eV per atom

---

11.
This record from Alexandria via LeMat-Bulk describes a relaxed Th6SiAs3P2 crystal. The functional is PBE.

Unit cell a=9.4468 b=9.4468 c=8.4621 alpha=103.23 beta=103.23 gamma=25.75
Last column: nearest neighbours and their distance in Å.
Atoms (fractional coordinates):
Th 0.0029 0.0029 0.2464  1 P 2.95, 2 Si 2.95, 3 As 3.02-3.03
Th 0.3309 0.3309 0.4237  3 P 2.93, 3 As 3.03
Th 0.3350 0.3350 0.9094  2 P 2.94, 1 Si 2.95, 3 As 3.02-3.04
Th 0.6650 0.6650 0.0906  2 P 2.94, 1 Si 2.95, 3 As 3.02-3.04
Th 0.6691 0.6691 0.5763  3 P 2.93, 3 As 3.03
Th 0.9971 0.9971 0.7536  1 P 2.95, 2 Si 2.95, 3 As 3.02-3.03
Si 0.5000 0.5000 0.0000  6 Th 2.95
As 0.1664 0.1664 0.8327  6 Th 3.02-3.04
As 0.5000 0.5000 0.5000  6 Th 3.02-3.03
As 0.8336 0.8336 0.1673  6 Th 3.02-3.04
P 0.1674 0.1674 0.3343  6 Th 2.93-2.95
P 0.8326 0.8326 0.6657  6 Th 2.93-2.95

Computed properties:
Space-group type ... C2/m, No. 12
Density ... 8.889 Mg/m³
Total moment ... 0.0 μB per formula unit
Uncorrected formation energy ... -1.33 eV per atom

---

12.
This record from Alexandria via LeMat-Bulk describes a relaxed Th4SiAsP2 crystal. The functional is PBE.

Unit cell a=7.2749 b=4.1982 c=7.2901 alpha=90.00 beta=109.37 gamma=90.00
Last column: nearest neighbours and their distance in Å.
Atoms (fractional coordinates):
Th 0.2419 0.0000 0.2438  3 P 2.93-2.96, 1 Si 2.98, 2 As 3.02
Th 0.2443 0.5000 0.7514  3 P 2.93-2.96, 2 Si 2.99, 1 As 3.01
Th 0.7557 0.5000 0.2486  3 P 2.93-2.96, 2 Si 2.99, 1 As 3.01
Th 0.7581 0.0000 0.7562  3 P 2.93-2.96, 1 Si 2.98, 2 As 3.02
Si 0.5000 0.0000 0.0000  6 Th 2.98-2.99
As 0.5000 0.5000 0.5000  6 Th 3.01-3.02
P 0.0000 0.0000 0.5000  6 Th 2.96
P 0.0000 0.5000 0.0000  6 Th 2.93

Computed properties:
Space-group type ... P2/m, No. 10
Density ... 8.641 Mg/m³
Total moment ... 0.0 μB per formula unit
Uncorrected formation energy ... -1.29 eV per atom

---

Question: Among the records above, which one has the highest uncorrected formation energy?
Answer: Si2SnAsP

---

Question: The lowest density belongs to which entry?
Answer: number 5